Entry 1:
A relaxed structure of Nd2PaPtO8, computed with PBE.

Summary:
Formation energy (no corrections) in eV per atom: -2.4660

```
Nd2PaPtO8
1.0
4.163 -0.261 0.001
-0.254 5.454 -0.005
-0.001 0.007 7.337
O Pt Nd Pa
8 1 2 1
Cartesian
1.599 1.116 7.336 O
0.050 4.221 1.724 O
2.309 4.083 -0.004 O
2.131 4.028 3.665 O
3.858 0.979 5.609 O
3.859 0.975 1.727 O
0.050 4.224 5.605 O
1.777 1.171 3.667 O
0.000 0.000 0.000 Pt
1.954 2.598 1.765 Nd
1.954 2.601 5.567 Nd
-0.001 0.004 3.668 Pa
```


Entry 2:
A relaxed structure of TbPrAg, computed with PBE.

Summary:
E_form in eV/f.u.: -0.46

```
TbPrAg
1.0
-2.544 0.037 -2.617
1.712 -2.736 -1.703
-3.116 -2.959 5.533
Pr Ag Tb
1 1 1
Cartesian
-0.099 -0.121 0.094 Pr
-1.657 -2.864 -0.974 Ag
-2.192 -2.674 2.094 Tb
```


Entry 3:
A relaxed structure of CaPdW, computed with PBE.

Summary:
E_form in eV/f.u.: 0.05

```
CaPdW
1.0
3.247 0.000 0.000
0.000 4.442 0.000
3.248 0.000 8.488
Ca W Pd
2 2 2
Cartesian
1.378 0.114 0.474 Ca
3.002 2.335 6.373 Ca
3.001 0.114 3.542 W
1.378 2.335 3.305 W
4.625 0.114 5.618 Pd
3.002 2.335 1.228 Pd
```


Entry 4:
A relaxed structure of HfCu2Ag2, computed with PBE.

Summary:
E_form in eV/f.u.: 0.91

```
HfCu2Ag2
1.0
7.510 0.000 0.000
0.000 7.510 0.000
0.000 0.000 2.849
Ag Hf Cu
4 2 4
Cartesian
4.719 0.964 0.000 Ag
2.791 6.546 0.000 Ag
6.546 4.719 0.000 Ag
0.964 2.791 0.000 Ag
0.000 0.000 0.000 Hf
3.755 3.755 0.000 Hf
2.468 1.287 1.425 Cu
5.042 6.223 1.425 Cu
1.287 5.042 1.425 Cu
6.223 2.468 1.425 Cu
```


Entry 5:
A relaxed structure of LaNbSn, computed with PBE.

Summary:
E_form in eV/f.u.: -1.19

```
LaNbSn
1.0
4.286 0.000 0.000
0.000 4.286 0.000
0.000 0.000 8.708
Sn Nb La
2 2 2
Cartesian
2.143 0.000 6.359 Sn
0.000 2.143 2.349 Sn
2.143 2.143 4.354 Nb
0.000 0.000 4.354 Nb
0.000 2.143 7.433 La
2.143 0.000 1.275 La
```


Entry 6:
A relaxed structure of LiIn3Re, computed with PBE.

Summary:
E_form in eV/f.u.: 1.64

```
LiIn3Re
1.0
5.232 0.000 0.000
0.000 5.232 0.000
0.000 0.000 5.232
In Li Re
3 1 1
Cartesian
0.000 2.616 0.000 In
2.616 0.000 0.000 In
0.000 0.000 2.616 In
2.616 2.616 2.616 Li
0.000 0.000 0.000 Re
```


Entry 7:
A relaxed structure of Tb5Nd4Dy4, computed with PBE.

Summary:
E_form in eV/f.u.: 0.21

```
Tb5Nd4Dy4
1.0
-2.633 0.874 -4.236
-8.675 -3.553 1.632
-4.007 8.543 1.228
Tb Dy Nd
5 4 4
Cartesian
-3.040 1.696 -0.787 Tb
-8.709 -0.981 -0.843 Tb
-6.606 6.846 -0.534 Tb
-12.274 4.169 -0.590 Tb
0.000 0.000 0.000 Tb
-11.776 0.731 -1.609 Dy
-3.539 5.133 0.233 Dy
-5.657 -0.034 -2.544 Dy
-9.658 5.899 1.167 Dy
-9.204 2.470 0.178 Nd
-6.111 3.395 -1.554 Nd
-9.211 5.113 -2.298 Nd
-6.103 0.751 0.922 Nd
```


Entry 8:
A relaxed structure of Pm2Sm3Dy, computed with PBE.

Summary:
E_form in eV/f.u.: 0.40

```
Pm2Sm3Dy
1.0
-2.606 -1.884 -1.578
6.451 -6.937 -2.369
-1.696 -5.950 9.901
Dy Sm Pm
2 6 4
Cartesian
3.633 -7.841 1.329 Dy
-1.484 -6.929 4.624 Dy
1.258 -5.625 2.605 Sm
1.519 -11.834 5.520 Sm
-1.646 -6.245 8.139 Sm
3.795 -8.525 -2.186 Sm
0.891 -9.145 3.348 Sm
0.630 -2.937 0.433 Sm
0.749 -8.630 7.032 Pm
1.400 -6.140 -1.078 Pm
4.208 -10.526 3.585 Pm
-2.059 -4.245 2.369 Pm
```


| no. | DOS(E_F) (states/eV per cell) | total magnetic moment (Bohr magnetons per cell) | E_tot (eV/atom) |
| --- | --- | --- | --- |
| 1 | 4.1 | 1.1 | -7.8608 |
| 2 | 4.2 | 0.0 | -4.2416 |
| 3 | 8.6 | 0.0 | -6.6998 |
| 4 | 5.8 | 0.0 | -4.5883 |
| 5 | 4.2 | 1.3 | -6.7300 |
| 6 | 2.7 | 0.0 | -4.1865 |
| 7 | 17.7 | 0.0 | -4.6477 |
| 8 | 17.2 | 0.0 | -4.6438 |